# CoPH3O5

CoPH3O5 after structural relaxation (GGA+U, Alexandria via LeMat-Bulk).

Total energy   -362.497 eV for the cell shown
Crystal system   trigonal
Space group   R-3, No. 148
ρ   2.98 g/cm3
V   9.6 A^3/atom

a b c (Å): 9.587 9.587 9.587
angles (deg): 112.86 112.86 112.86
Fractional coordinates of all 60 atoms:
1 Co 0.084 0.802 0.555
2 Co 0.198 0.445 0.916
3 Co 0.445 0.916 0.198
4 Co 0.555 0.084 0.802
5 Co 0.802 0.555 0.084
6 Co 0.916 0.198 0.445
7 P 0.251 0.689 0.333
8 P 0.311 0.667 0.749
9 P 0.333 0.251 0.689
10 P 0.667 0.749 0.311
11 P 0.689 0.333 0.251
12 P 0.749 0.311 0.667
13 H 0.051 0.847 0.111
14 H 0.097 0.150 0.326
15 H 0.111 0.051 0.847
16 H 0.150 0.326 0.097
17 H 0.153 0.889 0.949
18 H 0.172 0.476 0.387
19 H 0.326 0.097 0.150
20 H 0.387 0.172 0.476
21 H 0.476 0.387 0.172
22 H 0.524 0.613 0.828
23 H 0.613 0.828 0.524
24 H 0.674 0.903 0.850
25 H 0.828 0.524 0.613
26 H 0.847 0.111 0.051
27 H 0.850 0.674 0.903
28 H 0.889 0.949 0.153
29 H 0.903 0.850 0.674
30 H 0.949 0.153 0.889
31 O 0.044 0.909 0.761
32 O 0.091 0.239 0.956
33 O 0.096 0.705 0.330
34 O 0.142 0.468 0.542
35 O 0.163 0.247 0.668
36 O 0.191 0.488 0.294
37 O 0.239 0.956 0.091
38 O 0.247 0.668 0.163
39 O 0.294 0.191 0.488
40 O 0.295 0.670 0.904
41 O 0.330 0.096 0.705
42 O 0.332 0.837 0.753
43 O 0.458 0.858 0.532
44 O 0.468 0.542 0.142
45 O 0.488 0.294 0.191
46 O 0.512 0.706 0.809
47 O 0.532 0.458 0.858
48 O 0.542 0.142 0.468
49 O 0.668 0.163 0.247
50 O 0.670 0.904 0.295
51 O 0.705 0.330 0.096
52 O 0.706 0.809 0.512
53 O 0.753 0.332 0.837
54 O 0.761 0.044 0.909
55 O 0.809 0.512 0.706
56 O 0.837 0.753 0.332
57 O 0.858 0.532 0.458
58 O 0.904 0.295 0.670
59 O 0.909 0.761 0.044
60 O 0.956 0.091 0.239